A plane-wave DFT calculation with PBE-GGA was carried out for a relaxed CeSm2Er6 crystal.

Results
- Size of the total moment: 0.00 μB/cell
- E_form: 0.307 eV per atom

```
CeSm2Er6
1.0
3.637 2.100 6.267
-3.637 2.100 6.267
0.000 -4.200 6.267
Ce Sm Er
1 2 6
Direct
0.000 0.000 0.000
0.261 0.261 0.261
0.438 0.438 0.438
0.290 0.736 0.736
0.462 0.941 0.941
0.736 0.290 0.736
0.736 0.736 0.290
0.941 0.462 0.941
0.941 0.941 0.462
```

=====

A plane-wave DFT calculation with PBE-GGA was carried out for a relaxed CeSm12Er7 crystal.

Results
- Size of the total moment: 1.47 μB/cell
- E_form: 0.249 eV per atom

```
CeSm12Er7
1.0
8.474 4.893 2.701
-8.474 4.893 2.701
0.000 -9.785 2.701
Ce Sm Er
1 12 7
Direct
0.000 0.000 0.000
0.000 0.288 0.712
0.000 0.712 0.288
0.069 0.409 0.409
0.288 0.000 0.712
0.288 0.712 0.000
0.409 0.069 0.409
0.409 0.409 0.069
0.591 0.591 0.931
0.591 0.931 0.591
0.712 0.000 0.288
0.712 0.288 0.000
0.931 0.591 0.591
0.161 0.161 0.490
0.161 0.490 0.161
0.490 0.161 0.161
0.500 0.500 0.500
0.510 0.839 0.839
0.839 0.510 0.839
0.839 0.839 0.510
```

=====

- Which of these has the highest E_form?
  CeSm2Er6

=====

- What is the formula in the first record?
  CeSm2Er6